Material: TcNiCl3
Method: DFT, PBE
State: relaxed

a = 4.6559 Å, b = 4.6559 Å, c = 4.6559 Å
α = 90.00°, β = 90.00°, γ = 90.00°
Sites, in units of the cell vectors:
Tc (0.5000, 0.5000, 0.5000)
Cl (0.0000, 0.0000, 0.5000)
Cl (0.5000, 0.0000, 0.0000)
Cl (0.0000, 0.5000, 0.0000)
Ni (0.0000, 0.0000, 0.0000)

crystal system = cubic
formation energy without anion corrections = 7.69 kcal/mol of atoms
distance to the lowest polymorph of the same formula = 0.0 meV/atom

Material: PmSmZn2
Method: DFT, PBE
State: relaxed

a = 5.1581 Å, b = 5.1581 Å, c = 5.1581 Å
α = 60.00°, β = 60.00°, γ = 60.00°
Sites, in units of the cell vectors:
Pm (0.2500, 0.2500, 0.2500)
Zn (0.5000, 0.5000, 0.5000)
Zn (0.0000, 0.0000, 0.0000)
Sm (0.7500, 0.7500, 0.7500)

crystal system = cubic
calculated formation energy = -31 kJ/mol of atoms

Material: La3Os5N12
Method: DFT, PBE
State: relaxed

a = 11.2655 Å, b = 11.2655 Å, c = 11.2655 Å
α = 109.47°, β = 109.47°, γ = 109.47°
Sites, in units of the cell vectors:
La (0.8750, 0.7500, 0.1250)
La (0.7500, 0.8750, 0.6250)
La (0.7500, 0.3750, 0.1250)
La (0.2500, 0.6250, 0.8750)
La (0.2500, 0.1250, 0.3750)
La (0.1250, 0.2500, 0.8750)
La (0.8750, 0.1250, 0.2500)
La (0.6250, 0.3750, 0.7500)
La (0.6250, 0.2500, 0.3750)
La (0.1250, 0.8750, 0.7500)
La (0.3750, 0.6250, 0.2500)
La (0.3750, 0.7500, 0.6250)
Os (0.0000, 0.0000, 0.0000)
Os (0.8750, 0.2500, 0.6250)
Os (0.5000, 0.5000, 0.5000)
Os (0.6250, 0.7500, 0.8750)
Os (0.7500, 0.1250, 0.8750)
Os (0.0000, 0.5000, 0.5000)
Os (0.2500, 0.3750, 0.6250)
Os (0.7500, 0.6250, 0.3750)
Os (0.3750, 0.1250, 0.7500)
Os (0.2500, 0.8750, 0.1250)
Os (0.5000, 0.5000, 0.0000)
Os (0.5000, 0.0000, 0.5000)
Os (0.8750, 0.6250, 0.7500)
Os (0.1250, 0.7500, 0.3750)
Os (0.0000, 0.0000, 0.5000)
Os (0.6250, 0.8750, 0.2500)
Os (0.1250, 0.3750, 0.2500)
Os (0.5000, 0.0000, 0.0000)
Os (0.0000, 0.5000, 0.0000)
Os (0.3750, 0.2500, 0.1250)
N (0.6879, 0.1150, 0.0059)
N (0.4941, 0.6820, 0.1091)
N (0.4271, 0.1150, 0.6091)
N (0.6150, 0.6091, 0.9271)
N (0.0729, 0.8909, 0.3850)
N (0.3850, 0.3909, 0.0729)
N (0.8850, 0.3121, 0.4941)
N (0.8180, 0.9271, 0.3121)
N (0.6150, 0.0059, 0.1879)
N (0.8850, 0.5729, 0.8909)
N (0.8121, 0.3180, 0.9271)
N (0.5729, 0.8850, 0.3909)
N (0.1820, 0.0729, 0.6879)
N (0.9271, 0.1091, 0.6150)
N (0.5729, 0.6879, 0.6820)
N (0.0729, 0.1820, 0.1879)
N (0.3121, 0.4271, 0.8180)
N (0.5059, 0.1879, 0.1150)
N (0.1091, 0.9271, 0.1150)
N (0.3909, 0.0059, 0.3180)
N (0.9941, 0.3850, 0.3121)
N (0.4941, 0.8121, 0.8850)
N (0.1820, 0.1091, 0.9941)
N (0.6879, 0.5729, 0.1820)
N (0.3180, 0.8121, 0.4271)
N (0.3180, 0.5059, 0.3909)
N (0.1879, 0.5059, 0.6150)
N (0.8121, 0.4941, 0.3850)
N (0.1150, 0.6879, 0.5059)
N (0.8180, 0.8909, 0.0059)
N (0.1150, 0.4271, 0.1091)
N (0.8909, 0.8180, 0.5059)
N (0.3850, 0.9941, 0.8121)
N (0.6091, 0.9941, 0.6820)
N (0.1879, 0.6820, 0.0729)
N (0.6820, 0.4941, 0.6091)
N (0.3121, 0.8850, 0.9941)
N (0.0059, 0.6150, 0.6879)
N (0.6820, 0.1879, 0.5729)
N (0.0059, 0.3909, 0.8180)
N (0.8909, 0.0729, 0.8850)
N (0.6091, 0.6150, 0.4271)
N (0.3909, 0.3850, 0.5729)
N (0.9941, 0.6091, 0.1820)
N (0.9271, 0.8180, 0.8121)
N (0.5059, 0.3180, 0.8909)
N (0.1091, 0.1820, 0.4941)
N (0.4271, 0.3121, 0.3180)

crystal system = cubic
formation energy without anion corrections = -5.96 kcal/mol of atoms

Material: KIrRu
Method: DFT, PBE
State: relaxed

a = 4.5976 Å, b = 4.7713 Å, c = 8.5115 Å
α = 53.01°, β = 84.61°, γ = 84.74°
Sites, in units of the cell vectors:
Ir (0.4131, 0.7424, 0.9813)
Ir (0.0146, 0.8483, 0.1746)
K (0.4700, 0.1539, 0.4690)
K (0.9578, 0.4367, 0.6869)
Ru (0.5092, 0.1164, 0.0848)
Ru (0.9185, 0.4743, 0.0711)

crystal system = triclinic
calculated formation energy = 51 kJ/mol of atoms
distance to the lowest polymorph of the same formula = 82.7 meV/atom

Material: PmTlCdI6
Method: DFT, PBE
State: relaxed

a = 7.8938 Å, b = 7.8938 Å, c = 15.3421 Å
α = 90.00°, β = 90.00°, γ = 120.00°
Sites, in units of the cell vectors:
Pm (0.3333, 0.6667, 0.2500)
Pm (0.6667, 0.3333, 0.7500)
Cd (0.3333, 0.6667, 0.7500)
Cd (0.6667, 0.3333, 0.2500)
I (0.9921, 0.6303, 0.3659)
I (0.3697, 0.3618, 0.3659)
I (0.9921, 0.3618, 0.1341)
I (0.6382, 0.0079, 0.3659)
I (0.6303, 0.6382, 0.6341)
I (0.3697, 0.0079, 0.1341)
I (0.3618, 0.9921, 0.6341)
I (0.0079, 0.3697, 0.6341)
I (0.6382, 0.6303, 0.1341)
I (0.6303, 0.9921, 0.8659)
I (0.3618, 0.3697, 0.8659)
I (0.0079, 0.6382, 0.8659)
Tl (0.0000, 0.0000, 0.0000)
Tl (0.0000, 0.0000, 0.5000)

crystal system = trigonal
formation energy without anion corrections = -21.86 kcal/mol of atoms

Material: LiPuCoTc
Method: DFT, PBE
State: relaxed

a = 4.3752 Å, b = 4.3752 Å, c = 4.3752 Å
α = 60.00°, β = 60.00°, γ = 60.00°
Sites, in units of the cell vectors:
Tc (0.5000, 0.5000, 0.5000)
Pu (0.2500, 0.2500, 0.2500)
Co (0.0000, 0.0000, 0.0000)
Li (0.7500, 0.7500, 0.7500)

crystal system = cubic
calculated formation energy = 11 kJ/mol of atoms

Material: Tb3Nd2TmSb6
Method: DFT, PBE
State: relaxed

a = 4.4347 Å, b = 8.8649 Å, c = 9.9107 Å
α = 102.92°, β = 102.93°, γ = 90.00°
Sites, in units of the cell vectors:
Tb (0.1682, 0.8340, 0.3365)
Tb (0.5000, 0.5000, 0.0000)
Tb (0.8318, 0.1660, 0.6635)
Tm (0.5000, 0.0000, 0.0000)
Sb (0.3352, 0.9233, 0.6703)
Sb (0.6648, 0.0767, 0.3297)
Sb (0.9973, 0.2454, 0.9945)
Sb (0.6651, 0.5875, 0.3302)
Sb (0.3349, 0.4125, 0.6698)
Sb (0.0027, 0.7546, 0.0055)
Nd (0.1656, 0.3321, 0.3312)
Nd (0.8344, 0.6679, 0.6688)

crystal system = monoclinic
formation energy without anion corrections = -26.34 kcal/mol of atoms

Material: Eu2AgN
Method: DFT, PBE
State: relaxed

a = 3.2478 Å, b = 3.2478 Å, c = 7.6285 Å
α = 90.00°, β = 90.00°, γ = 90.00°
Sites, in units of the cell vectors:
Eu (0.0000, 0.0000, 0.8155)
Eu (0.0000, 0.0000, 0.1845)
N (0.5000, 0.5000, 0.0000)
Ag (0.5000, 0.5000, 0.5000)

crystal system = tetragonal
formation energy without anion corrections = -8.60 kcal/mol of atoms
distance to the lowest polymorph of the same formula = 213.6 meV/atom

Results for ρ: 4.3; 7.3; 9.3; 7.4; 4.9; 11.4; 7.5; 8.8 (in g/cm³, following the order of the records).
Results for E_tot: -4.004; -3.323; -8.800; -5.888; -2.874; -8.320; -5.528; -8.304 (in eV/atom, following the order of the records).
Results for total moment: 4.99; 0.00; 0.00; 0.00; 0.00; 2.96; 0.00; 13.94 (in μB/f.u., following the order of the records).